DFT (GGA-PBE) results for ScHgPt2 after structural relaxation.

a = 6.6048 Å, b = 6.6048 Å, c = 6.6048 Å
α = 90.00°, β = 90.00°, γ = 90.00°
Space group F-43m (No. 216)
One atom of each set of equivalent atoms:
Sc 0.0000 0.0000 0.0000 x4
Hg 0.2500 0.2500 0.7500 x4
Pt 0.0000 0.0000 0.5000 x4
Pt 0.2500 0.2500 0.2500 x4

Output
theoretical density: 14655 kg/m³
electronic total energy: -5.238 eV/atom